SrY2ReBr PBEsol relaxed; magnetic moment = 0.058 μB/cell; DOS(E_F) = 4.4 states/eV/f.u.; SG = P4/mmm (123); E = -4.45 eV/atom
1.0
4.746 0.000 0.000
0.000 5.684 0.000
0.000 0.000 5.684
Y Re Br Sr
2 1 1 1
direct
0.000 0.000 0.500
0.000 0.500 0.000
0.500 0.000 0.000
0.500 0.500 0.500
0.000 0.000 0.000

TaRe2Br PBEsol relaxed; magnetic moment = 0.001 μB/cell; DOS(E_F) = 3.1 states/eV/f.u.; energy above the lowest structure with this stoichiometry = 23.5 meV per atom; SG = Pmmm (47); E = -9.50 eV/atom
1.0
3.017 0.000 0.000
0.000 4.109 0.000
0.000 0.000 5.509
Re Br Ta
2 1 1
direct
0.000 0.000 0.787
0.000 0.000 0.213
0.500 0.500 0.500
0.500 0.500 0.000

TaReBr2 PBEsol relaxed; magnetic moment = 1.434 μB/cell; DOS(E_F) = 2.9 states/eV/f.u.; energy above the lowest structure with this stoichiometry = 227.8 meV per atom; SG = Immm (71); E = -6.90 eV/atom
1.0
3.196 0.000 0.000
0.000 4.218 0.000
-1.598 -2.109 6.926
Re Br Ta
1 2 1
direct
0.500 0.000 0.000
0.656 0.656 0.313
0.344 0.344 0.687
0.000 0.500 0.000

TaRe2Br PBEsol relaxed; magnetic moment = 0.000 μB/cell; DOS(E_F) = 3.3 states/eV/f.u.; energy above the lowest structure with this stoichiometry = 0.0 meV per atom; SG = Pmmm (47); E = -9.52 eV/atom
1.0
2.931 0.000 0.000
0.000 4.643 0.000
0.000 0.000 4.640
Re Br Ta
2 1 1
direct
0.000 0.000 0.000
0.500 0.000 0.500
0.000 0.500 0.500
0.500 0.500 0.000

TaRe2Br PBEsol relaxed; magnetic moment = 0.000 μB/cell; DOS(E_F) = 4.4 states/eV/f.u.; energy above the lowest structure with this stoichiometry = 40.3 meV per atom; SG = P2/m (10); E = -9.48 eV/atom
1.0
-0.964 2.658 -0.380
-2.887 -1.530 -3.384
-3.383 -0.966 3.322
Re Br Ta
2 1 1
direct
0.814 0.000 0.757
0.186 0.000 0.243
0.000 0.500 0.500
0.500 0.500 0.000

TaReBr2 PBEsol relaxed; magnetic moment = 0.000 μB/cell; DOS(E_F) = 2.6 states/eV/f.u.; energy above the lowest structure with this stoichiometry = 793.6 meV per atom; SG = I-4m2 (119); E = -6.34 eV/atom
1.0
-0.169 2.896 -3.095
2.034 -4.327 -1.253
-2.475 -2.582 -2.281
Re Br Ta
1 2 1
direct
0.500 0.000 0.500
0.000 0.000 0.000
0.250 0.500 0.250
0.750 0.500 0.750

TaReBr2 PBEsol relaxed; magnetic moment = 0.001 μB/cell; DOS(E_F) = 2.3 states/eV/f.u.; energy above the lowest structure with this stoichiometry = 0.0 meV per atom; SG = Pm (6); E = -7.13 eV/atom
1.0
3.109 0.000 0.000
0.000 4.547 0.117
0.000 -2.054 6.410
Re Br Ta
1 2 1
direct
0.000 0.602 0.606
0.000 0.035 0.931
0.500 0.700 0.321
0.500 0.163 0.641

TaReBr3 PBEsol relaxed; magnetic moment = 1.583 μB/cell; DOS(E_F) = 6.8 states/eV/f.u.; SG = Pm-3m (221); E = -4.74 eV/atom
1.0
-4.522 -0.125 -2.002
-1.888 -1.401 4.353
-0.677 4.743 1.233
Re Br Ta
1 3 1
direct
0.000 0.000 0.000
0.000 0.500 0.000
0.000 0.000 0.500
0.500 0.000 0.000
0.500 0.500 0.500

ReTc2Br PBEsol relaxed; magnetic moment = 0.000 μB/cell; DOS(E_F) = 3.7 states/eV/f.u.; SG = F-43m (216); E = -8.41 eV/atom
1.0
4.377 0.000 0.000
2.189 3.791 0.000
2.189 1.264 3.574
Re Tc Br
1 2 1
direct
0.250 0.250 0.250
0.000 0.000 0.000
0.750 0.750 0.750
0.500 0.500 0.500

Re2TcBr2 PBEsol relaxed; magnetic moment = 1.241 μB/cell; DOS(E_F) = 3.2 states/eV/f.u.; SG = I4/mmm (139); E = -6.91 eV/atom
1.0
3.930 0.000 0.000
0.000 3.930 0.000
-1.965 -1.965 5.851
Re Tc Br
2 1 2
direct
0.402 0.402 0.804
0.598 0.598 0.196
0.000 0.000 0.000
0.250 0.750 0.500
0.750 0.250 0.500

Re2TeBr PBEsol relaxed; magnetic moment = 0.000 μB/cell; DOS(E_F) = 2.9 states/eV/f.u.; energy above the lowest structure with this stoichiometry = 0.0 meV per atom; SG = Fm-3m (225); E = -6.85 eV/atom
1.0
-2.317 2.415 3.080
-4.268 -1.162 1.059
-0.923 -1.798 4.074
Re Te Br
2 1 1
direct
0.250 0.250 0.250
0.750 0.750 0.750
0.500 0.500 0.500
0.000 0.000 0.000

Re2TeBr PBEsol relaxed; magnetic moment = 0.004 μB/cell; DOS(E_F) = 5.8 states/eV/f.u.; energy above the lowest structure with this stoichiometry = 258.2 meV per atom; SG = Pmmm (47); E = -6.59 eV/atom
1.0
-1.460 0.743 -2.483
-4.022 -0.548 2.200
0.102 4.947 1.419
Re Te Br
2 1 1
direct
0.000 0.000 0.000
0.500 0.000 0.500
0.500 0.500 0.000
0.000 0.500 0.500